Below is crystalline Zn2CrRu at its relaxed geometry, with properties calculated at the PBEsol level.

Lattice parameters (Å, degrees): 4.7956 4.7956 4.7956 142.88 128.13 65.50
Sites, in units of the cell vectors:
Zn 0.0000 0.0000 0.0000
Zn 0.7534 0.2534 0.5000
Cr 0.2569 0.7569 0.5000
Ru 0.4916 0.4916 0.0000

Properties
* ρ: 9126 kg/m³
* calculated formation energy: 0.14 eV/atom
* space group: Imm2, No. 44
* energy above the most stable polymorph in this dataset: 0.142 eV per atom